one:
The following is a GGA-PBE calculation of a relaxed structure of CsTe2OsN, from the Alexandria database.

Cell and atoms, written as CIF:
```
data_CsTe2OsN
_chemical_formula_sum 'Cs1 Te2 Os1 N1'
_space_group_name_H-M_alt 'P 1'
_space_group_IT_number 1
_space_group_name_Hall 'P 1'
_cell_length_a 5.962
_cell_length_b 5.962
_cell_length_c 3.725
_cell_angle_alpha 90.00
_cell_angle_beta 90.00
_cell_angle_gamma 90.00
loop_
_atom_site_label
_atom_site_fract_x
_atom_site_fract_y
_atom_site_fract_z
N1 0.000 0.000 0.500
Te1 0.500 0.000 0.000
Te2 0.000 0.500 0.000
Os1 0.000 0.000 0.000
Cs1 0.500 0.500 0.500
```

The magnetization is 0.21 μB/f.u.



two:
The following is a GGA-PBE calculation of a relaxed structure of CsTe2OsN, from the Alexandria database.

Cell and atoms, written as CIF:
```
data_CsTe2OsN
_chemical_formula_sum 'Cs1 Te2 Os1 N1'
_space_group_name_H-M_alt 'P 1'
_space_group_IT_number 1
_space_group_name_Hall 'P 1'
_cell_length_a 6.324
_cell_length_b 6.324
_cell_length_c 4.329
_cell_angle_alpha 90.00
_cell_angle_beta 90.00
_cell_angle_gamma 90.00
loop_
_atom_site_label
_atom_site_fract_x
_atom_site_fract_y
_atom_site_fract_z
Cs1 0.000 0.000 0.000
Te1 0.000 0.500 0.000
Te2 0.500 0.000 0.000
N1 0.000 0.000 0.500
Os1 0.500 0.500 0.500
```

The magnetization is 5.08 μB/f.u.



Referenced to the most stable arrangement, the calculated values in meV/atom are one 0; two 2651.



one:
The following is a GGA-PBE calculation of a relaxed structure of CsPS2N, from the Alexandria database.

Cell and atoms, written as CIF:
```
data_CsPS2N
_chemical_formula_sum 'Cs1 P1 S2 N1'
_space_group_name_H-M_alt 'P 1'
_space_group_IT_number 1
_space_group_name_Hall 'P 1'
_cell_length_a 5.746
_cell_length_b 5.746
_cell_length_c 3.235
_cell_angle_alpha 90.00
_cell_angle_beta 90.00
_cell_angle_gamma 90.00
loop_
_atom_site_label
_atom_site_fract_x
_atom_site_fract_y
_atom_site_fract_z
S1 0.000 0.500 0.000
S2 0.500 0.000 0.000
N1 0.000 0.000 0.500
P1 0.000 0.000 0.000
Cs1 0.500 0.500 0.500
```

The magnetization is 0.00 μB/f.u.



two:
The following is a GGA-PBE calculation of a relaxed structure of CsPS2N, from the Alexandria database.

Cell and atoms, written as CIF:
```
data_CsPS2N
_chemical_formula_sum 'Cs1 P1 S2 N1'
_space_group_name_H-M_alt 'P 1'
_space_group_IT_number 1
_space_group_name_Hall 'P 1'
_cell_length_a 5.948
_cell_length_b 5.948
_cell_length_c 6.199
_cell_angle_alpha 90.00
_cell_angle_beta 90.00
_cell_angle_gamma 90.00
loop_
_atom_site_label
_atom_site_fract_x
_atom_site_fract_y
_atom_site_fract_z
Cs1 0.000 0.000 0.000
N1 0.500 0.500 0.500
P1 0.000 0.000 0.500
S1 0.500 0.000 0.000
S2 0.000 0.500 0.000
```

The magnetization is 8.23 μB/f.u.



Referenced to the most stable arrangement, the calculated values in meV/atom are one 0; two 1944.



one:
The following is a GGA-PBE calculation of a relaxed structure of CsTe2PbN, from the Alexandria database.

Cell and atoms, written as CIF:
```
data_CsTe2PbN
_chemical_formula_sum 'Cs1 Te2 Pb1 N1'
_space_group_name_H-M_alt 'P 1'
_space_group_IT_number 1
_space_group_name_Hall 'P 1'
_cell_length_a 6.456
_cell_length_b 6.456
_cell_length_c 4.739
_cell_angle_alpha 90.00
_cell_angle_beta 90.00
_cell_angle_gamma 90.00
loop_
_atom_site_label
_atom_site_fract_x
_atom_site_fract_y
_atom_site_fract_z
N1 0.000 0.000 0.500
Te1 0.500 0.000 0.000
Te2 0.000 0.500 0.000
Pb1 0.500 0.500 0.500
Cs1 0.000 0.000 0.000
```

The magnetization is 2.35 μB/f.u.



two:
The following is a GGA-PBE calculation of a relaxed structure of CsTe2PbN, from the Alexandria database.

Cell and atoms, written as CIF:
```
data_CsTe2PbN
_chemical_formula_sum 'Cs1 Te2 Pb1 N1'
_space_group_name_H-M_alt 'P 1'
_space_group_IT_number 1
_space_group_name_Hall 'P 1'
_cell_length_a 6.183
_cell_length_b 6.183
_cell_length_c 4.771
_cell_angle_alpha 90.00
_cell_angle_beta 90.00
_cell_angle_gamma 90.00
loop_
_atom_site_label
_atom_site_fract_x
_atom_site_fract_y
_atom_site_fract_z
N1 0.000 0.000 0.500
Te1 0.500 0.000 0.000
Te2 0.000 0.500 0.000
Cs1 0.500 0.500 0.500
Pb1 0.000 0.000 0.000
```

The magnetization is 2.37 μB/f.u.



Referenced to the most stable arrangement, the calculated values in meV/atom are one 855; two 0.



one:
The following is a GGA-PBE calculation of a relaxed structure of CsPdSe2N, from the Alexandria database.

Cell and atoms, written as CIF:
```
data_CsPdSe2N
_chemical_formula_sum 'Cs1 Pd1 Se2 N1'
_space_group_name_H-M_alt 'P 1'
_space_group_IT_number 1
_space_group_name_Hall 'P 1'
_cell_length_a 5.783
_cell_length_b 5.783
_cell_length_c 3.727
_cell_angle_alpha 90.00
_cell_angle_beta 90.00
_cell_angle_gamma 90.00
loop_
_atom_site_label
_atom_site_fract_x
_atom_site_fract_y
_atom_site_fract_z
Se1 0.000 0.500 0.000
Se2 0.500 0.000 0.000
Pd1 0.000 0.000 0.000
Cs1 0.500 0.500 0.500
N1 0.000 0.000 0.500
```

The magnetization is 0.74 μB/f.u.



two:
The following is a GGA-PBE calculation of a relaxed structure of CsPdSe2N, from the Alexandria database.

Cell and atoms, written as CIF:
```
data_CsPdSe2N
_chemical_formula_sum 'Cs1 Pd1 Se2 N1'
_space_group_name_H-M_alt 'P 1'
_space_group_IT_number 1
_space_group_name_Hall 'P 1'
_cell_length_a 5.970
_cell_length_b 5.970
_cell_length_c 4.480
_cell_angle_alpha 90.00
_cell_angle_beta 90.00
_cell_angle_gamma 90.00
loop_
_atom_site_label
_atom_site_fract_x
_atom_site_fract_y
_atom_site_fract_z
Pd1 0.500 0.500 0.500
Se1 0.000 0.500 0.000
Se2 0.500 0.000 0.000
N1 0.000 0.000 0.500
Cs1 0.000 0.000 0.000
```

The magnetization is 3.77 μB/f.u.



Referenced to the most stable arrangement, the calculated values in meV/atom are one 0; two 1601.



one:
The following is a GGA-PBE calculation of a relaxed structure of CsPtSe2N, from the Alexandria database.

Cell and atoms, written as CIF:
```
data_CsPtSe2N
_chemical_formula_sum 'Cs1 Pt1 Se2 N1'
_space_group_name_H-M_alt 'P 1'
_space_group_IT_number 1
_space_group_name_Hall 'P 1'
_cell_length_a 5.804
_cell_length_b 5.804
_cell_length_c 3.696
_cell_angle_alpha 90.00
_cell_angle_beta 90.00
_cell_angle_gamma 90.00
loop_
_atom_site_label
_atom_site_fract_x
_atom_site_fract_y
_atom_site_fract_z
Cs1 0.500 0.500 0.500
N1 0.000 0.000 0.500
Pt1 0.000 0.000 0.000
Se1 0.500 0.000 0.000
Se2 0.000 0.500 0.000
```

The magnetization is 0.40 μB/f.u.



two:
The following is a GGA-PBE calculation of a relaxed structure of CsPtSe2N, from the Alexandria database.

Cell and atoms, written as CIF:
```
data_CsPtSe2N
_chemical_formula_sum 'Cs1 Pt1 Se2 N1'
_space_group_name_H-M_alt 'P 1'
_space_group_IT_number 1
_space_group_name_Hall 'P 1'
_cell_length_a 5.875
_cell_length_b 5.875
_cell_length_c 4.398
_cell_angle_alpha 90.00
_cell_angle_beta 90.00
_cell_angle_gamma 90.00
loop_
_atom_site_label
_atom_site_fract_x
_atom_site_fract_y
_atom_site_fract_z
Se1 0.000 0.500 0.000
Se2 0.500 0.000 0.000
Cs1 0.000 0.000 0.000
Pt1 0.500 0.500 0.500
N1 0.000 0.000 0.500
```

The magnetization is 3.47 μB/f.u.



Referenced to the most stable arrangement, the calculated values in meV/atom are one 0; two 2068.